Record 1
A plane-wave DFT calculation with PBE was carried out for crystalline CeEr4Tm at its relaxed geometry.

Cell lengths 3.5296, 6.1073, 17.0236 Å; angles 96.79, 90.00, 90.00 degrees
Site moments in Bohr magnetons follow the coordinates.
Fractional positions:
Ce (0.5000, 0.0000, 0.5000)  0.65
Ce (0.0000, 0.0000, 0.0000)  0.65
Er (0.5004, 0.6129, 0.3328)  0.00
Er (0.0004, 0.3871, 0.1672)  0.00
Er (0.4996, 0.3871, 0.6672)  0.00
Er (0.9996, 0.6129, 0.8328)  0.00
Er (0.0004, 0.1094, 0.3339)  0.01
Er (0.5004, 0.8906, 0.1661)  0.01
Er (0.9996, 0.8906, 0.6661)  0.01
Er (0.4996, 0.1094, 0.8339)  0.01
Tm (0.0000, 0.5000, 0.5000)  0.04
Tm (0.5000, 0.5000, 0.0000)  0.04

* calculated total energy: -0.34944 Ry per atom
* crystal system: monoclinic
* formation energy: 0.022 eV per atom
* symmetry: C2/m (12)
* magnetization: 0.84 μB per formula unit
* distance to the lowest polymorph of the same formula: 0.000 eV/atom
* N(E_F): 1.72 states/eV/atom

---

Record 2
A plane-wave DFT calculation with PBE was carried out for crystalline TlSb2Pt at its relaxed geometry.

Cell lengths 5.1323, 5.1323, 5.1323 Å; angles 60.00, 60.00, 60.00 degrees
Fractional positions:
Pt (0.5000, 0.5000, 0.5000)
Sb (0.0000, 0.0000, 0.0000)
Sb (0.7500, 0.7500, 0.7500)
Tl (0.2500, 0.2500, 0.2500)

* calculated total energy: -0.28880 Ry per atom
* crystal system: cubic
* symmetry: F-43m (216)
* magnetization: 0.00 μB per formula unit
* distance to the lowest polymorph of the same formula: 0.516 eV/atom
* N(E_F): 0.33 states/eV/atom

---

Record 3
A plane-wave DFT calculation with PBE was carried out for crystalline Pm3Nd4TmSe8 at its relaxed geometry.

Cell lengths 8.3720, 8.4029, 8.3710 Å; angles 119.87, 120.00, 90.00 degrees
Fractional positions:
Pm (0.5000, 0.5000, 0.0000)
Pm (0.5000, 0.5000, 0.5000)
Pm (0.0000, 0.5000, 0.5000)
Nd (0.5000, 0.0000, 0.0000)
Nd (0.5000, 0.0000, 0.5000)
Nd (0.0000, 0.0000, 0.0000)
Nd (0.0000, 0.0000, 0.5000)
Tm (0.0000, 0.5000, 0.0000)
Se (0.2425, 0.7404, 0.9980)
Se (0.2425, 0.7405, 0.4850)
Se (0.2510, 0.2532, 0.5020)
Se (0.7555, 0.7404, 0.9980)
Se (0.2445, 0.2596, 0.0020)
Se (0.7490, 0.7468, 0.4980)
Se (0.7575, 0.2595, 0.5150)
Se (0.7575, 0.2596, 0.0020)

* calculated total energy: -0.43461 Ry per atom
* crystal system: trigonal
* symmetry: R-3m (166)
* magnetization: 0.00 μB per formula unit
* N(E_F): 0.64 states/eV/atom

---

Record 4
A plane-wave DFT calculation with PBE was carried out for crystalline LaAl4Ag2 at its relaxed geometry.

Cell lengths 4.3559, 4.3721, 7.8148 Å; angles 106.24, 90.00, 90.00 degrees
Fractional positions:
La (0.0000, 0.0000, 0.0000)
Al (0.5000, 0.8114, 0.6229)
Al (0.0000, 0.6915, 0.3831)
Al (0.5000, 0.1886, 0.3771)
Al (0.0000, 0.3085, 0.6169)
Ag (0.5000, 0.5914, 0.1828)
Ag (0.5000, 0.4086, 0.8172)

* calculated total energy: -0.28668 Ry per atom
* crystal system: orthorhombic
* formation energy: -0.243 eV per atom
* symmetry: Cmmm (65)
* magnetization: 0.00 μB per formula unit
* distance to the lowest polymorph of the same formula: 0.000 eV/atom
* N(E_F): 0.18 states/eV/atom

---

Record 5
A plane-wave DFT calculation with PBE was carried out for crystalline LiIn3Pd at its relaxed geometry.

Cell lengths 4.6816, 9.7879, 9.7879 Å; angles 91.76, 76.47, 76.47 degrees
Fractional positions:
Li (0.0131, 0.3175, 0.1660)
Li (0.5131, 0.1660, 0.3175)
Li (0.4869, 0.8340, 0.6825)
Li (0.9869, 0.6825, 0.8340)
In (0.6313, 0.2089, 0.0328)
In (0.1313, 0.0328, 0.2089)
In (0.8687, 0.9672, 0.7911)
In (0.3687, 0.7911, 0.9672)
In (0.8782, 0.3021, 0.4590)
In (0.3782, 0.4590, 0.3021)
In (0.6218, 0.5410, 0.6979)
In (0.1218, 0.6979, 0.5410)
In (0.8773, 0.6090, 0.1327)
In (0.3773, 0.1327, 0.6090)
In (0.6227, 0.8673, 0.3910)
In (0.1227, 0.3910, 0.8673)
Pd (0.2500, 0.7432, 0.2568)
Pd (0.2500, 0.1007, 0.8993)
Pd (0.7500, 0.2568, 0.7432)
Pd (0.7500, 0.8993, 0.1007)

* calculated total energy: -0.24718 Ry per atom
* crystal system: monoclinic
* formation energy: -0.299 eV per atom
* symmetry: C2/c (15)
* magnetization: 0.00 μB per formula unit
* distance to the lowest polymorph of the same formula: 0.000 eV/atom
* N(E_F): 0.37 states/eV/atom

---

Record 6
A plane-wave DFT calculation with PBE was carried out for crystalline CuAsS2I at its relaxed geometry.

Cell lengths 4.9367, 7.9420, 7.3409 Å; angles 112.19, 90.00, 90.00 degrees
Fractional positions:
Cu (0.2500, 0.6093, 0.4179)
Cu (0.7500, 0.3907, 0.5821)
As (0.2500, 0.6443, 0.9268)
As (0.7500, 0.3557, 0.0732)
S (0.7500, 0.5949, 0.3706)
S (0.2500, 0.4051, 0.6294)
S (0.7500, 0.5755, 0.8955)
S (0.2500, 0.4245, 0.1045)
I (0.2500, 0.9094, 0.7237)
I (0.7500, 0.0906, 0.2763)

* calculated total energy: -0.27800 Ry per atom
* crystal system: monoclinic
* symmetry: P2_1/m (11)
* magnetization: 0.00 μB per formula unit
* N(E_F): 0.12 states/eV/atom

---

Please write out number 4 again, unchanged.
A plane-wave DFT calculation with PBE was carried out for crystalline LaAl4Ag2 at its relaxed geometry.

Cell lengths 4.3559, 4.3721, 7.8148 Å; angles 106.24, 90.00, 90.00 degrees
Fractional positions:
La (0.0000, 0.0000, 0.0000)
Al (0.5000, 0.8114, 0.6229)
Al (0.0000, 0.6915, 0.3831)
Al (0.5000, 0.1886, 0.3771)
Al (0.0000, 0.3085, 0.6169)
Ag (0.5000, 0.5914, 0.1828)
Ag (0.5000, 0.4086, 0.8172)

* calculated total energy: -0.28668 Ry per atom
* crystal system: orthorhombic
* formation energy: -0.243 eV per atom
* symmetry: Cmmm (65)
* magnetization: 0.00 μB per formula unit
* distance to the lowest polymorph of the same formula: 0.000 eV/atom
* N(E_F): 0.18 states/eV/atom